1.
Density functional theory data (PBE) for an optimized crystal structure of SrCeNpN4.

```
SrCeNpN4
1.0
4.2036 0.0000 0.0000
0.0000 4.2036 0.0000
-2.1018 -2.1018 6.3210
Sr Ce Np N
1 1 1 4
Cartesian
2.1018 2.1018 1.8730
0.0000 0.0000 4.4487
0.0000 0.0000 0.0247
2.1018 0.0000 6.1893
0.0000 2.1018 6.1893
2.1018 2.1018 4.2981
0.0000 0.0000 2.2607
```

Calculated density, g/cm³: 7.74
Crystal system: tetragonal
Spin magnetization, μB per formula unit: 1.03
E_form (uncorrected), kJ/mol of atoms: -103
Space-group type: I4mm


2.
Density functional theory data (PBE) for an optimized crystal structure of Nd2Cu2Pd5Pt.

```
Nd2Cu2Pd5Pt
1.0
4.0226 0.0000 0.0000
0.0000 9.3848 0.0000
0.0000 0.0000 9.3848
Nd Cu Pd Pt
4 4 10 2
Cartesian
0.0000 6.4114 1.7190
0.0000 2.9734 7.6658
0.0000 1.7190 2.9734
0.0000 7.6658 6.4114
0.0000 1.0752 5.7675
0.0000 8.3096 3.6172
0.0000 5.7675 8.3096
0.0000 3.6172 1.0752
2.0113 1.9371 0.6056
2.0113 7.4477 8.7791
2.0113 0.6056 7.4477
2.0113 6.6294 4.0867
2.0113 8.7791 1.9371
2.0113 2.7553 5.2980
2.0113 5.2980 6.6294
2.0113 4.0867 2.7553
2.0113 4.6924 0.0000
2.0113 0.0000 4.6924
0.0000 0.0000 0.0000
0.0000 4.6924 4.6924
```

Calculated density, g/cm³: 10.71
Crystal system: tetragonal
Spin magnetization, μB per formula unit: 0.00
Formation energy from the elements, eV/atom: -0.563
Space-group type: P4/mbm


3.
Density functional theory data (PBE) for an optimized crystal structure of Tl2Ir.

```
Tl2Ir
1.0
1.5279 5.1734 0.0064
-1.5279 5.1734 0.0064
0.0000 3.1825 8.8299
Tl Ir
4 2
Cartesian
0.0000 9.6983 7.9088
0.0000 1.0886 2.9066
0.0000 12.4408 5.9361
0.0000 3.8311 0.9339
0.0000 4.8456 5.2901
0.0000 8.6838 3.5526
```

Calculated density, g/cm³: 14.30
Crystal system: monoclinic
Spin magnetization, μB per formula unit: 0.00
Formation energy from the elements, eV/atom: 0.364
Space-group type: C2/m


4.
Density functional theory data (PBE) for an optimized crystal structure of BaNaSCl2.

```
BaNaSCl2
1.0
5.9996 0.0000 0.0000
0.0000 5.9996 0.0000
0.0000 0.0000 6.0886
Na S Ba Cl
1 1 1 2
Cartesian
2.9998 2.9998 3.0443
0.0000 0.0000 3.0443
0.0000 0.0000 0.0000
0.0000 2.9998 0.0000
2.9998 0.0000 0.0000
```

Calculated density, g/cm³: 1.99
Crystal system: tetragonal
E above lowest polymorph, meV/atom: 170
Spin magnetization, μB per formula unit: 1.01
E_form (uncorrected), kJ/mol of atoms: -123
Space-group type: P4/mmm